--- w ---
A relaxed CaTb2Pt2 crystal. Source: Alexandria via LeMat-Bulk, functional PBE-GGA.

abc: 3.894 7.883 7.883
angles: 90.00 90.00 90.00
Fractional positions:
Pt 0.500 0.137 0.863
Pt 0.500 0.637 0.637
Pt 0.500 0.863 0.137
Pt 0.500 0.363 0.363
Tb 0.000 0.657 0.343
Tb 0.000 0.843 0.843
Tb 0.000 0.157 0.157
Tb 0.000 0.343 0.657
Ca 0.500 0.000 0.500
Ca 0.500 0.500 0.000

Calculated density: 10.27 Mg/m³

---

--- x ---
A relaxed CaTb2Pt2 crystal. Source: Alexandria via LeMat-Bulk, functional PBE-GGA.

abc: 5.320 8.234 7.415
angles: 83.27 69.01 71.14
Fractional positions:
Pt 0.478 0.750 0.043
Pt 0.271 0.750 0.457
Pt 0.729 0.250 0.543
Pt 0.522 0.250 0.957
Tb 0.788 0.925 0.750
Tb 0.212 0.075 0.250
Tb 0.463 0.575 0.750
Tb 0.537 0.425 0.250
Ca 0.125 0.251 0.750
Ca 0.875 0.749 0.250

Calculated density: 8.66 Mg/m³

---

Most stable one: w, least stable one: x.

---

--- w ---
A relaxed CaTc2Pt crystal. Source: Alexandria via LeMat-Bulk, functional PBE-GGA.

abc: 4.381 2.834 5.822
angles: 75.40 90.00 90.00
Fractional positions:
Tc 0.000 0.154 0.013
Tc 0.500 0.119 0.203
Pt 0.500 0.797 0.780
Ca 0.000 0.431 0.504

Calculated density: 10.24 Mg/m³

---

--- x ---
A relaxed CaTc2Pt crystal. Source: Alexandria via LeMat-Bulk, functional PBE-GGA.

abc: 5.326 5.326 2.686
angles: 90.00 90.00 118.49
Fractional positions:
Tc 0.500 0.500 0.000
Tc 0.000 0.000 0.000
Pt 0.000 0.500 0.500
Ca 0.500 0.000 0.500

Calculated density: 10.69 Mg/m³

---

Most stable one: w, least stable one: x.